1:
A relaxed Be2AgGe crystal. Source: Alexandria, functional PBE-GGA.

a b c (Å): 6.578 6.578 5.436
angles (deg): 90.00 90.00 90.00
Space group I-42d (No. 122)
One atom of each set of equivalent atoms:
Be: 0.233 0.250 0.125
Ag: 0.000 0.000 0.500
Ge: 0.000 0.000 0.000

Output
total magnetic moment	0.000	μB/f.u.
crystal system	tetragonal

***

2:
A relaxed Be2AgGe crystal. Source: Alexandria, functional PBE-GGA.

a b c (Å): 5.985 5.985 5.985
angles (deg): 90.00 90.00 90.00
Space group Fm-3m (No. 225)
One atom of each set of equivalent atoms:
Be: 0.250 0.250 0.250
Ag: 0.000 0.000 0.000
Ge: 0.000 0.000 0.500

Output
total magnetic moment	0.000	μB/f.u.
crystal system	cubic

***

Which one sits at the top of the stability order? 2 does.

***

1:
A relaxed BeAg2Ge2 crystal. Source: Alexandria, functional PBE-GGA.

a b c (Å): 6.028 6.028 4.750
angles (deg): 90.00 90.00 90.00
Space group P4/mbm (No. 127)
One atom of each set of equivalent atoms:
Be: 0.000 0.000 0.000
Ag: 0.177 0.323 0.500
Ge: 0.149 0.649 0.000

Output
total magnetic moment	0.000	μB/f.u.
crystal system	tetragonal

***

2:
A relaxed BeAg2Ge2 crystal. Source: Alexandria, functional PBE-GGA.

a b c (Å): 6.452 6.452 4.315
angles (deg): 90.00 90.00 90.00
Space group P4/mbm (No. 127)
One atom of each set of equivalent atoms:
Be: 0.000 0.000 0.000
Ag: 0.163 0.337 0.000
Ge: 0.155 0.655 0.500

Output
total magnetic moment	0.000	μB/f.u.
crystal system	tetragonal

***

Which one sits at the top of the stability order? 1 does.

***

1:
A relaxed BeAgH2 crystal. Source: Alexandria, functional PBE-GGA.

a b c (Å): 5.202 5.202 5.202
angles (deg): 90.00 90.00 90.00
Space group Fm-3m (No. 225)
One atom of each set of equivalent atoms:
Be: 0.000 0.000 0.000
Ag: 0.000 0.000 0.500
H: 0.250 0.250 0.250

Output
total magnetic moment	0.000	μB/f.u.
crystal system	cubic

***

2:
A relaxed BeAgH2 crystal. Source: Alexandria, functional PBE-GGA.

a b c (Å): 4.201 4.201 8.389
angles (deg): 90.00 90.00 90.00
Space group I-42d (No. 122)
One atom of each set of equivalent atoms:
Be: 0.000 0.000 0.000
Ag: 0.000 0.000 0.500
H: 0.065 0.250 0.125

Output
total magnetic moment	0.000	μB/f.u.
crystal system	tetragonal

***

Which one sits at the top of the stability order? 2 does.

***

1:
A relaxed Hf3BeAg crystal. Source: Alexandria, functional PBE-GGA.

a b c (Å): 5.043 5.043 5.043
angles (deg): 90.00 90.00 90.00
Space group Pm-3m (No. 221)
One atom of each set of equivalent atoms:
Hf: 0.000 0.000 0.500
Be: 0.500 0.500 0.500
Ag: 0.000 0.000 0.000

Output
total magnetic moment	0.000	μB/f.u.
crystal system	cubic

***

2:
A relaxed Hf3BeAg crystal. Source: Alexandria, functional PBE-GGA.

a b c (Å): 4.652 4.652 4.652
angles (deg): 90.00 90.00 90.00
Space group Pm-3m (No. 221)
One atom of each set of equivalent atoms:
Hf: 0.000 0.000 0.500
Be: 0.000 0.000 0.000
Ag: 0.500 0.500 0.500

Output
total magnetic moment	0.000	μB/f.u.
crystal system	cubic

***

Which one sits at the top of the stability order? 2 does.